Compound: UTiCoO6
Source: the Alexandria database
Functional: PBE with a Hubbard U
Structure: relaxed

Unit cell a=5.359 b=5.359 c=8.826 alpha=90.00 beta=90.00 gamma=120.00
Site moments in Bohr magnetons follow the coordinates.
Element x y z (fractional)
U: 0.333 0.667 0.250  0.04
U: 0.667 0.333 0.750  0.04
Ti: 0.667 0.333 0.250  0.04
Ti: 0.333 0.667 0.750  0.04
Co: 0.000 0.000 0.000  2.74
Co: 0.000 0.000 0.500  2.74
O: 0.662 0.646 0.133  0.03
O: 0.985 0.338 0.133  0.03
O: 0.338 0.985 0.633  0.03
O: 0.015 0.662 0.867  0.03
O: 0.354 0.338 0.367  0.03
O: 0.985 0.646 0.367  0.03
O: 0.646 0.985 0.867  0.03
O: 0.662 0.015 0.367  0.03
O: 0.015 0.354 0.633  0.03
O: 0.354 0.015 0.133  0.03
O: 0.646 0.662 0.633  0.03
O: 0.338 0.354 0.867  0.03

## Properties
Final energy = -0.6203 Ry per atom
Calculated volume = 12.2 Å³ per atom
Magnetization = 6.00 μB per cell